Record 1
Here is PmY7Tm5 after structural relaxation from Alexandria. Energies are from PBE.

Space-group type: No. 44
D(E_F) (states/eV/f.u.): 28.5
Energy of formation from the pure elements (eV per atom): 0.242

Cell lengths 6.659, 8.689, 8.689 Å; angles 79.92, 67.47, 67.47 degrees
Atoms (fractional coordinates):
Y  0.521  0.809  0.149
Y  0.576  0.424  0.424
Y  0.020  0.305  0.656
Y  0.266  0.234  0.234
Y  0.265  0.735  0.735
Y  0.521  0.149  0.809
Y  0.020  0.656  0.305
Tm  0.003  0.461  0.002
Tm  0.534  0.002  0.461
Tm  0.003  0.002  0.461
Tm  0.534  0.461  0.002
Tm  0.775  0.725  0.725
Pm  0.962  0.038  0.038

***

Record 2
Here is Pm12Si6Ru after structural relaxation from Alexandria. Energies are from PBE.

Space-group type: No. 148
D(E_F) (states/eV/f.u.): 16.9
Uncorrected formation energy (eV/atom): -0.384

Cell lengths 8.473, 8.473, 8.473 Å; angles 99.64, 99.64, 99.64 degrees
Atoms (fractional coordinates):
Pm  0.320  0.064  0.959
Pm  0.959  0.320  0.064
Pm  0.936  0.041  0.680
Pm  0.816  0.574  0.433
Pm  0.184  0.426  0.567
Pm  0.433  0.816  0.574
Pm  0.041  0.680  0.936
Pm  0.426  0.567  0.184
Pm  0.680  0.936  0.041
Pm  0.567  0.184  0.426
Pm  0.064  0.959  0.320
Pm  0.574  0.433  0.816
Ru  0.000  0.000  0.000
Si  0.698  0.870  0.377
Si  0.623  0.302  0.130
Si  0.377  0.698  0.870
Si  0.302  0.130  0.623
Si  0.130  0.623  0.302
Si  0.870  0.377  0.698